[1]
The following is a PBE-GGA calculation of crystalline KGaGe at its relaxed geometry, from the Alexandria database.

Computed properties:
The value obtained for the total energy is -9.4 eV per cell.

a = 4.2809 Å, b = 4.2809 Å, c = 5.4988 Å
α = 90.00°, β = 90.00°, γ = 120.00°
Closest atoms and distances in Å follow each position.
Space group P3m1 (No. 156)
Unique sites:
K 0.0000 0.0000 0.0000  6 Ge 3.69-3.70, 6 Ga 3.70
Ga 0.3333 0.6667 0.4995  3 Ge 2.47
Ge 0.6667 0.3333 0.5008  3 Ga 2.47

=====

[2]
The following is a PBE-GGA calculation of crystalline Zr4B at its relaxed geometry, from the Alexandria database.

Computed properties:
The value obtained for the total energy is -41.0 eV per cell.

a = 4.7131 Å, b = 4.7131 Å, c = 4.7131 Å
α = 90.00°, β = 90.00°, γ = 90.00°
Closest atoms and distances in Å follow each position.
Space group Pm-3m (No. 221)
Unique sites:
Zr 0.0000 0.0000 0.0000  12 Zr 3.33
Zr 0.0000 0.5000 0.5000  2 B 2.36
B 0.5000 0.5000 0.5000  6 Zr 2.36

=====

[3]
The following is a PBE-GGA calculation of crystalline Cr2RuW at its relaxed geometry, from the Alexandria database.

Computed properties:
The value obtained for the total energy is -41.1 eV per cell.

a = 2.9133 Å, b = 2.9133 Å, c = 6.3224 Å
α = 90.00°, β = 90.00°, γ = 90.00°
Closest atoms and distances in Å follow each position.
Space group P4mm (No. 99)
Unique sites:
Cr 0.0000 0.0000 0.0000  4 Cr 2.40, 4 W 2.67
Cr 0.5000 0.5000 0.1949  4 Cr 2.40, 4 Ru 2.63
Ru 0.0000 0.0000 0.4533  5 Cr 2.63-2.87, 4 W 2.71, 4 Ru 2.91
W 0.5000 0.5000 0.7309  5 Cr 2.67-2.93, 4 Ru 2.71, 4 W 2.91

=====

[4]
The following is a PBE-GGA calculation of crystalline Ac6Tl6Ga at its relaxed geometry, from the Alexandria database.

Computed properties:
The value obtained for the total energy is -44.7 eV per cell.

a = 6.9411 Å, b = 6.9411 Å, c = 11.3691 Å
α = 90.00°, β = 90.00°, γ = 120.00°
Closest atoms and distances in Å follow each position.
Space group P6/mmm (No. 191)
Unique sites:
Ac 0.0000 0.0000 0.2092  1 Ga 3.31, 6 Tl 3.50
Ac 0.3333 0.6667 0.0000  6 Tl 3.48
Ac 0.3333 0.6667 0.5000  6 Tl 3.48
Tl 0.0000 0.5000 0.2499  4 Tl 3.47, 6 Ac 3.48-3.50
Ga 0.0000 0.0000 0.5000  2 Ac 3.31

=====

[5]
The following is a PBE-GGA calculation of crystalline ScPt2Rh at its relaxed geometry, from the Alexandria database.

Computed properties:
The value obtained for the total energy is -113.1 eV per cell.

a = 6.3892 Å, b = 6.3892 Å, c = 6.3892 Å
α = 90.00°, β = 90.00°, γ = 90.00°
Closest atoms and distances in Å follow each position.
Space group F-43m (No. 216)
Unique sites:
Sc 0.0000 0.0000 0.0000  4 Rh 2.77, 4 Pt 2.77
Pt 0.0000 0.0000 0.5000  4 Pt 2.77, 4 Rh 2.77
Pt 0.2500 0.2500 0.2500  4 Sc 2.77, 4 Pt 2.77
Rh 0.2500 0.2500 0.7500  4 Pt 2.77, 4 Sc 2.77

=====

[6]
The following is a PBE-GGA calculation of crystalline FeOsS2Cl at its relaxed geometry, from the Alexandria database.

Computed properties:
As for the energy relative to the elements, uncorrected: 0.788 eV/atom.

a = 4.5700 Å, b = 4.5700 Å, c = 4.9195 Å
α = 90.00°, β = 90.00°, γ = 90.00°
Closest atoms and distances in Å follow each position.
Space group P4/mmm (No. 123)
Unique sites:
Fe 0.0000 0.0000 0.0000  4 Cl 3.23, 8 S 3.36
Os 0.5000 0.5000 0.5000  4 S 2.29, 2 Cl 2.46
S 0.0000 0.5000 0.5000  2 Os 2.29
Cl 0.5000 0.5000 0.0000  2 Os 2.46

=====

[7]
The following is a PBE-GGA calculation of crystalline PaCo3SiB at its relaxed geometry, from the Alexandria database.

Computed properties:
As for the energy relative to the elements, uncorrected: -0.515 eV/atom.

a = 5.1032 Å, b = 10.5578 Å, c = 5.8250 Å
α = 90.00°, β = 90.00°, γ = 90.00°
Closest atoms and distances in Å follow each position.
Space group Cmcm (No. 63)
Unique sites:
Pa 0.0000 0.2164 0.2500  2 Co 2.59, 1 B 2.78
Co 0.0000 0.3266 0.7500  1 B 2.04, 1 Si 2.22
Co 0.2439 0.5000 0.0000  2 B 1.93
Si 0.0000 0.1160 0.7500  5 Co 2.22-2.31
B 0.0000 0.4797 0.2500  5 Co 1.93-2.04

=====

[8]
The following is a PBE-GGA calculation of crystalline FeAgRh at its relaxed geometry, from the Alexandria database.

Computed properties:
The value obtained for the total energy is -18.2 eV per cell.

a = 2.7603 Å, b = 2.7603 Å, c = 6.7422 Å
α = 90.00°, β = 90.00°, γ = 120.00°
Closest atoms and distances in Å follow each position.
Space group P3m1 (No. 156)
Unique sites:
Fe 0.0000 0.0000 0.0000  3 Rh 2.57, 6 Fe 2.76, 3 Ag 2.80
Ag 0.6667 0.3333 0.6587  6 Ag 2.76, 3 Fe 2.80, 3 Rh 2.91
Rh 0.3333 0.6667 0.2982  3 Fe 2.57, 6 Rh 2.76

=====

[9]
The following is a PBE-GGA calculation of crystalline Na2HfCr at its relaxed geometry, from the Alexandria database.

Computed properties:
The value obtained for the total energy is -69.4 eV per cell.

a = 7.2070 Å, b = 7.2070 Å, c = 7.2070 Å
α = 90.00°, β = 90.00°, γ = 90.00°
Closest atoms and distances in Å follow each position.
Space group Fm-3m (No. 225)
Unique sites:
Na 0.2500 0.2500 0.2500  4 Cr 3.12, 4 Hf 3.12
Hf 0.0000 0.0000 0.0000  8 Na 3.12
Cr 0.0000 0.0000 0.5000  8 Na 3.12

=====

[10]
The following is a PBE-GGA calculation of crystalline Ti8Nb6Al at its relaxed geometry, from the Alexandria database.

Computed properties:
The value obtained for the total energy is -382.6 eV per cell.

a = 7.3859 Å, b = 7.3859 Å, c = 16.7216 Å
α = 90.00°, β = 90.00°, γ = 120.00°
Closest atoms and distances in Å follow each position.
Space group R-3 (No. 148, hexagonal axes)
Unique sites:
Ti 0.0000 0.0000 0.0802  4 Ti 2.68-2.75, 3 Nb 2.78
Ti 0.0557 0.2608 0.6297  3 Nb 2.73-2.91, 5 Ti 2.75-3.04, 1 Al 2.79
Nb 0.0111 0.7679 0.2092  1 Nb 2.69, 4 Ti 2.73-2.91, 1 Al 2.92
Al 0.0000 0.0000 0.5000  6 Ti 2.79, 6 Nb 2.92

=====

[11]
The following is a PBE-GGA calculation of crystalline Ba3Na3IO8 at its relaxed geometry, from the Alexandria database.

Computed properties:
As for the energy relative to the elements, uncorrected: -1.643 eV/atom.

a = 7.6175 Å, b = 7.6175 Å, c = 16.8961 Å
α = 90.00°, β = 90.00°, γ = 120.00°
Closest atoms and distances in Å follow each position.
Space group R-3m (No. 166, hexagonal axes)
Unique sites:
Ba 0.0000 0.5000 0.0000  6 O 2.57-2.79
Na 0.0000 0.5000 0.5000  6 O 2.60-2.65
I 0.0000 0.0000 0.0000  6 O 1.94
O 0.0000 0.0000 0.2547  3 Ba 2.57, 3 Na 2.65
O 0.0928 0.5464 0.7324  1 I 1.94

=====

[12]
The following is a PBE-GGA calculation of crystalline HfIn3Ga at its relaxed geometry, from the Alexandria database.

Computed properties:
The value obtained for the total energy is -18.0 eV per cell.

a = 5.5927 Å, b = 5.5927 Å, c = 5.5927 Å
α = 90.00°, β = 90.00°, γ = 90.00°
Closest atoms and distances in Å follow each position.
Space group Pm-3m (No. 221)
Unique sites:
Hf 0.0000 0.0000 0.0000  6 In 2.80
In 0.0000 0.0000 0.5000  2 Hf 2.80
Ga 0.5000 0.5000 0.5000  12 In 3.95

=====

[13]
The following is a PBE-GGA calculation of crystalline CeTm2Al at its relaxed geometry, from the Alexandria database.

Computed properties:
The value obtained for the total energy is -19.2 eV per cell.

a = 4.7463 Å, b = 4.7463 Å, c = 4.5926 Å
α = 90.00°, β = 90.00°, γ = 90.00°
Closest atoms and distances in Å follow each position.
Space group P4/mmm (No. 123)
Unique sites:
Ce 0.0000 0.0000 0.0000  8 Tm 3.30, 4 Al 3.36
Tm 0.0000 0.5000 0.5000  4 Al 3.30, 4 Ce 3.30, 4 Tm 3.36
Al 0.5000 0.5000 0.0000  8 Tm 3.30, 4 Ce 3.36

=====

[14]
The following is a PBE-GGA calculation of crystalline SiAu at its relaxed geometry, from the Alexandria database.

Computed properties:
As for the energy relative to the elements, uncorrected: 0.136 eV/atom.

a = 10.1979 Å, b = 10.1979 Å, c = 3.7600 Å
α = 90.00°, β = 90.00°, γ = 90.00°
Closest atoms and distances in Å follow each position.
Space group I4/m (No. 87)
Unique sites:
Si 0.1782 0.7080 0.0000  4 Au 2.39-2.56, 2 Si 2.53
Au 0.0546 0.2610 0.0000  4 Si 2.39-2.56

=====

[15]
The following is a PBE-GGA calculation of crystalline CePmI at its relaxed geometry, from the Alexandria database.

Computed properties:
As for the energy relative to the elements, uncorrected: -0.532 eV/atom.

a = 5.5753 Å, b = 5.6346 Å, c = 12.9478 Å
α = 90.00°, β = 91.02°, γ = 90.00°
Closest atoms and distances in Å follow each position.
Space group C2/m (No. 12)
Unique sites:
Ce 0.1992 0.0000 0.4437  1 Ce 2.68
Pm 0.2454 0.0000 0.7348  4 I 3.22-3.26, 1 Ce 3.36
I 0.2472 0.5000 0.8614  4 Pm 3.22-3.26

=====

[16]
The following is a PBE-GGA calculation of crystalline LaRh2Au at its relaxed geometry, from the Alexandria database.

Computed properties:
The value obtained for the total energy is -74.7 eV per cell.

a = 4.7121 Å, b = 4.7121 Å, c = 14.1540 Å
α = 90.00°, β = 90.00°, γ = 120.00°
Closest atoms and distances in Å follow each position.
Space group R-3m (No. 166, hexagonal axes)
Unique sites:
La 0.0000 0.0000 0.0000  2 Rh 2.54
Rh 0.0000 0.0000 0.1795  1 La 2.54, 3 Au 2.73, 3 Rh 2.74
Au 0.0000 0.0000 0.5000  6 Rh 2.73

=====

[17]
The following is a PBE-GGA calculation of crystalline BaSr2B2 at its relaxed geometry, from the Alexandria database.

Computed properties:
The value obtained for the total energy is -28.6 eV per cell.

a = 8.4869 Å, b = 8.4869 Å, c = 3.5360 Å
α = 90.00°, β = 90.00°, γ = 90.00°
Closest atoms and distances in Å follow each position.
Space group P4/mbm (No. 127)
Unique sites:
Ba 0.0000 0.0000 0.0000  4 Sr 3.31, 2 Ba 3.54, 8 B 3.63
Sr 0.1333 0.3667 0.0000  6 B 3.00-3.10, 1 Sr 3.20, 2 Ba 3.31
B 0.1649 0.6649 0.5000  6 Sr 3.00-3.10

=====

[18]
The following is a PBE-GGA calculation of crystalline Ag2Bi2Sb at its relaxed geometry, from the Alexandria database.

Computed properties:
As for the energy relative to the elements, uncorrected: 0.166 eV/atom.

a = 7.6584 Å, b = 7.6584 Å, c = 4.4134 Å
α = 90.00°, β = 90.00°, γ = 90.00°
Closest atoms and distances in Å follow each position.
Space group P4/mbm (No. 127)
Unique sites:
Ag 0.1306 0.3694 0.0000  1 Ag 2.83, 2 Sb 3.00, 2 Bi 3.11
Bi 0.1673 0.6673 0.5000  6 Ag 3.11-3.19
Sb 0.0000 0.0000 0.0000  4 Ag 3.00

=====

[19]
The following is a PBE-GGA calculation of crystalline ZnFeNi2 at its relaxed geometry, from the Alexandria database.

Computed properties:
The value obtained for the total energy is -79.9 eV per cell.

a = 3.5199 Å, b = 3.5199 Å, c = 16.6777 Å
α = 90.00°, β = 90.00°, γ = 90.00°
Closest atoms and distances in Å follow each position.
Space group I-42d (No. 122)
Unique sites:
Zn 0.0000 0.0000 0.0000  4 Ni 2.43, 4 Fe 2.49
Fe 0.0000 0.0000 0.5000  4 Ni 2.43, 4 Zn 2.49
Ni 0.2485 0.2500 0.1250  2 Zn 2.43, 2 Fe 2.43, 4 Ni 2.48-2.50